[1]
Computed, not measured: a geometry-optimized Na2CaI structure at the GGA-PBE level of DFT. Values from VASP.

E above lowest polymorph   29.4 kJ per mole of atoms
Volume   158 Å³ per cell
Energy relative to the elements, uncorrected   -0.537 eV/f.u.

Quantum ESPRESSO input file:
```
&SYSTEM
  ibrav = 0, nat = 4, ntyp = 3
/
ATOMIC_SPECIES
Na 22.99 Na.upf
Ca 40.08 Ca.upf
I 126.90 I.upf
CELL_PARAMETERS angstrom
0.0000 4.2904 4.2904
4.2904 0.0000 4.2904
4.2904 4.2904 0.0000
ATOMIC_POSITIONS angstrom
Na 2.1452 2.1452 2.1452
Na 6.4356 6.4356 6.4356
Ca 0.0000 0.0000 0.0000
I 4.2904 4.2904 4.2904
```

[2]
Computed, not measured: a geometry-optimized SbTe3W structure at the GGA-PBE level of DFT. Values from VASP.

E above lowest polymorph   0.0 kJ per mole of atoms
Volume   148 Å³ per cell
Energy relative to the elements, uncorrected   3.267 eV/f.u.

Quantum ESPRESSO input file:
```
&SYSTEM
  ibrav = 0, nat = 5, ntyp = 3
/
ATOMIC_SPECIES
Sb 121.76 Sb.upf
Te 127.60 Te.upf
W 183.84 W.upf
CELL_PARAMETERS angstrom
5.2927 0.0000 0.0000
0.0000 5.2927 0.0000
0.0000 0.0000 5.2927
ATOMIC_POSITIONS angstrom
Sb 0.0000 0.0000 0.0000
Te 0.0000 2.6463 2.6463
Te 2.6463 0.0000 2.6463
Te 2.6463 2.6463 0.0000
W 2.6463 2.6463 2.6463
```

[3]
Computed, not measured: a geometry-optimized RbLi structure at the GGA-PBE level of DFT. Values from VASP.

Volume   467 Å³ per cell
DFT total energy   -1.160 eV per atom

Quantum ESPRESSO input file:
```
&SYSTEM
  ibrav = 0, nat = 8, ntyp = 2
/
ATOMIC_SPECIES
Rb 85.47 Rb.upf
Li 6.94 Li.upf
CELL_PARAMETERS angstrom
7.7934 0.0000 0.0000
0.0000 7.7934 0.0000
0.0000 0.0000 7.6890
ATOMIC_POSITIONS angstrom
Rb 1.4507 1.4507 0.0000
Rb 2.4460 5.3474 3.8445
Rb 5.3474 2.4460 3.8445
Rb 6.3426 6.3426 0.0000
Li 1.1038 1.1038 3.8445
Li 2.7929 5.0005 0.0000
Li 5.0005 2.7929 0.0000
Li 6.6896 6.6896 3.8445
```

[4]
Computed, not measured: a geometry-optimized CdAsIr2 structure at the GGA-PBE level of DFT. Values from VASP.

E above lowest polymorph   18.4 kJ per mole of atoms
Volume   74 Å³ per cell

Quantum ESPRESSO input file:
```
&SYSTEM
  ibrav = 0, nat = 4, ntyp = 3
/
ATOMIC_SPECIES
Cd 112.41 Cd.upf
As 74.92 As.upf
Ir 192.22 Ir.upf
CELL_PARAMETERS angstrom
1.4047 -2.4383 0.0000
1.4047 2.4383 0.0000
0.0000 0.0000 10.8251
ATOMIC_POSITIONS angstrom
Cd 0.0000 0.0000 0.0000
As 1.4047 0.0000 6.9814
Ir 0.0000 0.0000 4.8555
Ir 1.4047 0.0000 2.5437
```

[5]
Computed, not measured: a geometry-optimized LaPu2PtRh2 structure at the GGA-PBE level of DFT. Values from VASP.

Volume   161 Å³ per cell
DFT total energy   -9.281 eV per atom

Quantum ESPRESSO input file:
```
&SYSTEM
  ibrav = 0, nat = 6, ntyp = 4
/
ATOMIC_SPECIES
La 138.91 La.upf
Pu 244.00 Pu.upf
Pt 195.08 Pt.upf
Rh 102.91 Rh.upf
CELL_PARAMETERS angstrom
-2.2228 2.2228 8.1479
2.2228 -2.2228 8.1479
2.2228 2.2228 -8.1479
ATOMIC_POSITIONS angstrom
La 0.0000 0.0000 0.0000
Pu 2.2228 0.0000 4.0739
Pu 0.0000 2.2228 4.0739
Pt 0.0000 0.0000 8.1479
Rh 0.0000 0.0000 5.6129
Rh 0.0000 0.0000 10.6828
```

[6]
Computed, not measured: a geometry-optimized Sm2ErBe structure at the GGA-PBE level of DFT. Values from VASP.

E above lowest polymorph   0.0 kJ per mole of atoms
Volume   107 Å³ per cell

Quantum ESPRESSO input file:
```
&SYSTEM
  ibrav = 0, nat = 4, ntyp = 3
/
ATOMIC_SPECIES
Sm 150.36 Sm.upf
Er 167.26 Er.upf
Be 9.01 Be.upf
CELL_PARAMETERS angstrom
3.5383 0.0000 0.0000
0.0000 3.5383 0.0000
0.0000 0.0000 8.5324
ATOMIC_POSITIONS angstrom
Sm 0.0000 0.0000 1.6873
Sm 0.0000 0.0000 6.8451
Er 1.7691 1.7691 4.2662
Be 1.7691 1.7691 0.0000
```

[7]
Computed, not measured: a geometry-optimized HgTeW2 structure at the GGA-PBE level of DFT. Values from VASP.

E above lowest polymorph   49.2 kJ per mole of atoms
Volume   75 Å³ per cell
Energy relative to the elements, uncorrected   3.845 eV/f.u.

Quantum ESPRESSO input file:
```
&SYSTEM
  ibrav = 0, nat = 4, ntyp = 3
/
ATOMIC_SPECIES
Hg 200.59 Hg.upf
Te 127.60 Te.upf
W 183.84 W.upf
CELL_PARAMETERS angstrom
4.4980 -1.5667 0.0000
4.4980 1.5667 0.0000
-0.9961 0.0000 5.3495
ATOMIC_POSITIONS angstrom
Hg 0.0000 0.0000 0.0000
Te 3.9999 0.0000 2.6748
W 1.4914 0.0000 3.9540
W 6.5084 0.0000 1.3955
```

[8]
Computed, not measured: a geometry-optimized Zr2CrW structure at the GGA-PBE level of DFT. Values from VASP.

E above lowest polymorph   21.2 kJ per mole of atoms
Volume   73 Å³ per cell

Quantum ESPRESSO input file:
```
&SYSTEM
  ibrav = 0, nat = 4, ntyp = 3
/
ATOMIC_SPECIES
Zr 91.22 Zr.upf
Cr 52.00 Cr.upf
W 183.84 W.upf
CELL_PARAMETERS angstrom
2.9097 -4.5546 0.0000
2.9097 4.5546 0.0000
-1.0372 0.0000 2.7520
ATOMIC_POSITIONS angstrom
Zr 1.4548 2.2773 0.0000
Zr 1.4548 -2.2773 0.0000
Cr -0.5186 0.0000 1.3760
W 2.3911 0.0000 1.3760
```

[9]
Computed, not measured: a geometry-optimized LiNb2C structure at the GGA-PBE level of DFT. Values from VASP.

Volume   70 Å³ per cell
DFT total energy   -7.817 eV per atom

Quantum ESPRESSO input file:
```
&SYSTEM
  ibrav = 0, nat = 4, ntyp = 3
/
ATOMIC_SPECIES
Li 6.94 Li.upf
Nb 92.91 Nb.upf
C 12.01 C.upf
CELL_PARAMETERS angstrom
1.5625 0.9021 8.2543
-1.5625 0.9021 8.2543
0.0000 -1.8042 8.2543
ATOMIC_POSITIONS angstrom
Li 0.0000 0.0000 0.0000
Nb 0.0000 0.0000 2.9302
Nb 0.0000 0.0000 21.8326
C 0.0000 0.0000 12.3814
```

[10]
Computed, not measured: a geometry-optimized Mg2ScBr structure at the GGA-PBE level of DFT. Values from VASP.

E above lowest polymorph   8.8 kJ per mole of atoms
Volume   98 Å³ per cell
Energy relative to the elements, uncorrected   -1.133 eV/f.u.

Quantum ESPRESSO input file:
```
&SYSTEM
  ibrav = 0, nat = 4, ntyp = 3
/
ATOMIC_SPECIES
Mg 24.30 Mg.upf
Sc 44.96 Sc.upf
Br 79.90 Br.upf
CELL_PARAMETERS angstrom
3.4139 0.0000 0.0000
0.0000 3.4139 0.0000
0.0000 0.0000 8.3999
ATOMIC_POSITIONS angstrom
Mg 0.0000 0.0000 2.1008
Mg 0.0000 0.0000 6.2991
Sc 1.7069 1.7069 0.0000
Br 1.7069 1.7069 4.2000
```

[11]
Computed, not measured: a geometry-optimized LiSmDy2 structure at the GGA-PBE level of DFT. Values from VASP.

E above lowest polymorph   9.1 kJ per mole of atoms
Volume   119 Å³ per cell

Quantum ESPRESSO input file:
```
&SYSTEM
  ibrav = 0, nat = 4, ntyp = 3
/
ATOMIC_SPECIES
Li 6.94 Li.upf
Sm 150.36 Sm.upf
Dy 162.50 Dy.upf
CELL_PARAMETERS angstrom
5.6626 0.0000 0.0000
0.0000 5.6626 0.0000
0.0000 0.0000 3.6968
ATOMIC_POSITIONS angstrom
Li 0.0000 0.0000 0.0000
Sm 2.8313 2.8313 0.0000
Dy 0.0000 2.8313 1.8484
Dy 2.8313 0.0000 1.8484
```

[12]
Computed, not measured: a geometry-optimized TbMnGa3 structure at the GGA-PBE level of DFT. Values from VASP.

Volume   96 Å³ per cell
DFT total energy   -4.843 eV per atom

Quantum ESPRESSO input file:
```
&SYSTEM
  ibrav = 0, nat = 5, ntyp = 3
/
ATOMIC_SPECIES
Tb 158.93 Tb.upf
Mn 54.94 Mn.upf
Ga 69.72 Ga.upf
CELL_PARAMETERS angstrom
4.5732 0.0000 0.0000
0.0000 4.5732 0.0000
0.0000 0.0000 4.5732
ATOMIC_POSITIONS angstrom
Tb 0.0000 0.0000 0.0000
Mn 2.2866 2.2866 2.2866
Ga 0.0000 2.2866 2.2866
Ga 2.2866 0.0000 2.2866
Ga 2.2866 2.2866 0.0000
```

[13]
Computed, not measured: a geometry-optimized Ac5OsPd2 structure at the GGA-PBE level of DFT. Values from VASP.

Volume   622 Å³ per cell
DFT total energy   -5.603 eV per atom

Quantum ESPRESSO input file:
```
&SYSTEM
  ibrav = 0, nat = 16, ntyp = 3
/
ATOMIC_SPECIES
Ac 227.00 Ac.upf
Os 190.23 Os.upf
Pd 106.42 Pd.upf
CELL_PARAMETERS angstrom
3.0173 -6.9877 0.0000
3.0173 6.9877 0.0000
0.0000 0.0000 14.7402
ATOMIC_POSITIONS angstrom
Ac 3.0173 6.2144 9.1463
Ac 3.0173 6.2144 12.9640
Ac 3.0173 3.2332 3.6850
Ac 3.0173 2.3526 8.5123
Ac 3.0173 2.3526 13.5980
Ac 3.0173 -2.3526 1.1422
Ac 3.0173 -2.3526 6.2279
Ac 3.0173 -3.2332 11.0551
Ac 3.0173 -6.2144 1.7762
Ac 3.0173 -6.2144 5.5939
Os 3.0173 4.0997 11.0551
Os 3.0173 -4.0997 3.6850
Pd 3.0173 4.8070 0.9043
Pd 3.0173 4.8070 6.4658
Pd 3.0173 -4.8070 8.2744
Pd 3.0173 -4.8070 13.8359
```

[14]
Computed, not measured: a geometry-optimized Nb4VRh structure at the GGA-PBE level of DFT. Values from VASP.

Volume   116 Å³ per cell
DFT total energy   -9.060 eV per atom

Quantum ESPRESSO input file:
```
&SYSTEM
  ibrav = 0, nat = 6, ntyp = 3
/
ATOMIC_SPECIES
Nb 92.91 Nb.upf
V 50.94 V.upf
Rh 102.91 Rh.upf
CELL_PARAMETERS angstrom
3.0557 -3.0556 0.0000
3.0557 3.0556 0.0000
-0.0224 0.0000 6.2284
ATOMIC_POSITIONS angstrom
Nb 1.5131 1.5265 4.7278
Nb 1.5131 -1.5265 4.7278
Nb 4.5759 1.5265 1.5006
Nb 4.5759 -1.5265 1.5006
V 0.0000 0.0000 0.0000
Rh 3.0445 0.0000 3.1142
```

[15]
Computed, not measured: a geometry-optimized Cd2SiSe structure at the GGA-PBE level of DFT. Values from VASP.

E above lowest polymorph   4.7 kJ per mole of atoms
Volume   87 Å³ per cell
Energy relative to the elements, uncorrected   0.504 eV/f.u.

Quantum ESPRESSO input file:
```
&SYSTEM
  ibrav = 0, nat = 4, ntyp = 3
/
ATOMIC_SPECIES
Cd 112.41 Cd.upf
Si 28.09 Si.upf
Se 78.96 Se.upf
CELL_PARAMETERS angstrom
2.9699 0.0000 0.0000
0.0000 3.7810 0.0000
0.0000 0.0000 7.7433
ATOMIC_POSITIONS angstrom
Cd 0.0000 0.0000 1.7581
Cd 0.0000 0.0000 5.9853
Si 1.4849 1.8905 0.0000
Se 0.0000 1.8905 3.8717
```

[16]
Computed, not measured: a geometry-optimized CaZnRh structure at the GGA-PBE level of DFT. Values from VASP.

Volume   135 Å³ per cell
DFT total energy   -3.761 eV per atom

Quantum ESPRESSO input file:
```
&SYSTEM
  ibrav = 0, nat = 6, ntyp = 3
/
ATOMIC_SPECIES
Ca 40.08 Ca.upf
Zn 65.41 Zn.upf
Rh 102.91 Rh.upf
CELL_PARAMETERS angstrom
-2.4993 4.1763 3.2250
2.4993 -4.1763 3.2250
2.4993 4.1763 -3.2250
ATOMIC_POSITIONS angstrom
Ca 0.0000 0.0000 0.0000
Ca 0.0000 4.1763 0.0000
Zn 2.4993 2.0881 0.6650
Zn 0.0000 2.0881 2.5600
Rh 1.2496 2.0881 -1.6125
Rh 1.2496 -2.0881 1.6125
```

[17]
Computed, not measured: a geometry-optimized BaSc3Tc structure at the GGA-PBE level of DFT. Values from VASP.

E above lowest polymorph   174.7 kJ per mole of atoms
Volume   133 Å³ per cell

Quantum ESPRESSO input file:
```
&SYSTEM
  ibrav = 0, nat = 5, ntyp = 3
/
ATOMIC_SPECIES
Ba 137.33 Ba.upf
Sc 44.96 Sc.upf
Tc 98.00 Tc.upf
CELL_PARAMETERS angstrom
5.1073 0.0000 0.0000
0.0000 5.1073 0.0000
0.0000 0.0000 5.1073
ATOMIC_POSITIONS angstrom
Ba 0.0000 0.0000 0.0000
Sc 0.0000 0.0000 2.5537
Sc 0.0000 2.5537 0.0000
Sc 2.5537 0.0000 0.0000
Tc 2.5537 2.5537 2.5537
```

[18]
Computed, not measured: a geometry-optimized Zr2MnP structure at the GGA-PBE level of DFT. Values from VASP.

Volume   69 Å³ per cell
DFT total energy   -8.425 eV per atom

Quantum ESPRESSO input file:
```
&SYSTEM
  ibrav = 0, nat = 4, ntyp = 3
/
ATOMIC_SPECIES
Zr 91.22 Zr.upf
Mn 54.94 Mn.upf
P 30.97 P.upf
CELL_PARAMETERS angstrom
-1.6111 2.0359 5.2255
1.6111 -2.0359 5.2255
1.6111 2.0359 -5.2255
ATOMIC_POSITIONS angstrom
Zr 0.0000 0.0000 0.0000
Zr 0.0000 2.0359 2.4592
Mn 0.0000 0.0000 5.0225
P 1.6111 0.0000 3.3045
```

[19]
Computed, not measured: a geometry-optimized GeSeBr structure at the GGA-PBE level of DFT. Values from VASP.

E above lowest polymorph   11.2 kJ per mole of atoms
Volume   212 Å³ per cell
Energy relative to the elements, uncorrected   -0.798 eV/f.u.

Quantum ESPRESSO input file:
```
&SYSTEM
  ibrav = 0, nat = 6, ntyp = 3
/
ATOMIC_SPECIES
Ge 72.64 Ge.upf
Se 78.96 Se.upf
Br 79.90 Br.upf
CELL_PARAMETERS angstrom
3.7818 0.0000 0.0000
0.0000 7.0965 0.0000
0.0000 0.0000 7.9045
ATOMIC_POSITIONS angstrom
Ge 0.0000 0.7492 0.0000
Ge 1.8909 6.3472 3.9522
Se 0.0000 0.3237 2.7257
Se 1.8909 6.7728 6.6779
Br 0.0000 3.0725 7.5280
Br 1.8909 4.0240 3.5758
```

[20]
Computed, not measured: a geometry-optimized La2InGeW structure at the GGA-PBE level of DFT. Values from VASP.

Volume   157 Å³ per cell
DFT total energy   -5.051 eV per atom

Quantum ESPRESSO input file:
```
&SYSTEM
  ibrav = 0, nat = 5, ntyp = 4
/
ATOMIC_SPECIES
La 138.91 La.upf
In 114.82 In.upf
Ge 72.64 Ge.upf
W 183.84 W.upf
CELL_PARAMETERS angstrom
5.6490 0.0000 0.0000
0.0000 5.6490 0.0000
0.0000 0.0000 4.9054
ATOMIC_POSITIONS angstrom
La 0.0000 2.8245 0.0000
La 2.8245 0.0000 0.0000
In 0.0000 0.0000 2.4527
Ge 0.0000 0.0000 0.0000
W 2.8245 2.8245 2.4527
```